SnBPt2: optimized geometry, PBEsol.

The space group is Fm-3m (No. 225) and the conventional cell measures 6.187, 6.187 and 6.187 Å, with angles of 90.00, 90.00 and 90.00 degrees. The asymmetric unit holds Sn at (0.000, 0.000, 0.000), B at (0.000, 0.000, 0.500) and Pt at (0.250, 0.250, 0.250).

The formation enthalpy at 0 K comes out at 0.4684 eV per atom. As for the total energy: -93.3 eV per cell. The volume comes out at 236.9 Å³ per cell.

---

Sr2SnBPt: optimized geometry, PBEsol.

The space group is P4/mmm (No. 123) and the conventional cell measures 5.725, 5.725 and 4.943 Å, with angles of 90.00, 90.00 and 90.00 degrees. The asymmetric unit holds Sr at (0.000, 0.500, 0.000), Sn at (0.000, 0.000, 0.500), B at (0.500, 0.500, 0.500) and Pt at (0.000, 0.000, 0.000).

The formation enthalpy at 0 K comes out at 0.4016 eV per atom. As for the total energy: -19.9 eV per cell. The volume comes out at 162.0 Å³ per cell.

---

SrB4Pt6: optimized geometry, PBEsol.

The space group is P-3m1 (No. 164) and the conventional cell measures 6.1050, 6.1050 and 5.2713 Å, with angles of 90.00, 90.00 and 120.00 degrees. The asymmetric unit holds Sr at (0.0000, 0.0000, 0.0000), B at (0.3333, 0.6667, 0.5683), B at (0.3333, 0.6667, 0.9298) and Pt at (0.0342, 0.5171, 0.2509).

The formation enthalpy at 0 K comes out at -0.4358 eV per atom. As for the total energy: -76.5 eV per cell. The volume comes out at 170.1 Å³ per cell.

---

SrB3Pt: optimized geometry, PBEsol.

The space group is Pm-3m (No. 221) and the conventional cell measures 4.314, 4.314 and 4.314 Å, with angles of 90.00, 90.00 and 90.00 degrees. The asymmetric unit holds Sr at (0.000, 0.000, 0.000), B at (0.000, 0.000, 0.500) and Pt at (0.500, 0.500, 0.500).

The formation enthalpy at 0 K comes out at 3.1758 eV per atom. As for the total energy: -14.0 eV per cell. Its energy above the most stable polymorph in this dataset is 2.494 eV per atom. The volume comes out at 80.3 Å³ per cell.